# 1
A plane-wave DFT calculation with GGA-PBE was carried out for an optimized crystal structure of PtSe2Br.

N(E_F), states/eV/cell: 3.91
Energy relative to the lowest polymorph listed for this composition, eV/atom: 1.012
V, Å³/cell: 78.6
Spin magnetization, Bohr magnetons per cell: 0.00
ΔE_f (raw), eV per atom: 0.73

Unit cell a=4.8087 b=4.8087 c=4.8087 alpha=60.00 beta=60.00 gamma=60.00
Closest atoms and distances in Å follow each position.
Atoms (fractional coordinates):
1 Pt 0.0000 0.0000 0.0000  4 Br 2.94, 4 Se 2.94
2 Se 0.2500 0.2500 0.2500  4 Se 2.94, 4 Pt 2.94
3 Se 0.5000 0.5000 0.5000  4 Br 2.94, 4 Se 2.94
4 Br 0.7500 0.7500 0.7500  4 Pt 2.94, 4 Se 2.94

---

# 2
A plane-wave DFT calculation with GGA-PBE was carried out for an optimized crystal structure of PtSeBr2.

N(E_F), states/eV/cell: 7.29
V, Å³/cell: 262.2
Spin magnetization, Bohr magnetons per cell: 0.00
ΔE_f (raw), eV per atom: 0.18

Unit cell a=7.7497 b=7.7497 c=7.7497 alpha=95.59 beta=95.59 gamma=143.64
Closest atoms and distances in Å follow each position.
Atoms (fractional coordinates):
1 Pt 0.0000 0.0000 0.0000  2 Se 2.42, 4 Br 2.67
2 Pt 0.7500 0.2500 0.5000  2 Se 2.42, 4 Br 2.67
3 Se 0.2500 0.7500 0.5000  2 Pt 2.42
4 Se 0.5000 0.5000 0.0000  2 Pt 2.42
5 Br 0.3750 0.1234 0.2484  2 Pt 2.67
6 Br 0.8734 0.6250 0.7484  2 Pt 2.67
7 Br 0.8750 0.1266 0.7516  2 Pt 2.67
8 Br 0.8766 0.1250 0.2516  2 Pt 2.67

---

# 3
A plane-wave DFT calculation with GGA-PBE was carried out for an optimized crystal structure of PtSeBr2.

N(E_F), states/eV/cell: 3.16
V, Å³/cell: 84.1
Spin magnetization, Bohr magnetons per cell: 0.00
ΔE_f (raw), eV per atom: 0.90

Unit cell a=4.9183 b=4.9183 c=4.9183 alpha=60.00 beta=60.00 gamma=60.00
Closest atoms and distances in Å follow each position.
Atoms (fractional coordinates):
1 Pt 0.0000 0.0000 0.0000  8 Br 3.01
2 Se 0.5000 0.5000 0.5000  8 Br 3.01
3 Br 0.2500 0.2500 0.2500  4 Se 3.01, 4 Pt 3.01
4 Br 0.7500 0.7500 0.7500  4 Se 3.01, 4 Pt 3.01

---

# 4
A plane-wave DFT calculation with GGA-PBE was carried out for an optimized crystal structure of PtSe2Br.

N(E_F), states/eV/cell: 2.64
Energy relative to the lowest polymorph listed for this composition, eV/atom: 0.320
V, Å³/cell: 114.4
Spin magnetization, Bohr magnetons per cell: 0.00
ΔE_f (raw), eV per atom: 0.04

Unit cell a=4.3503 b=3.7022 c=7.1830 alpha=90.00 beta=98.55 gamma=90.00
Closest atoms and distances in Å follow each position.
Atoms (fractional coordinates):
1 Pt 0.0000 0.0000 0.0000  3 Se 2.44-2.55, 2 Br 2.58
2 Se 0.2734 0.5000 0.2055  2 Pt 2.55, 2 Se 2.72
3 Se 0.7337 0.0000 0.2759  1 Pt 2.44, 2 Se 2.72
4 Br 0.8659 0.5000 0.7516  2 Pt 2.58

---

# 5
A plane-wave DFT calculation with GGA-PBE was carried out for an optimized crystal structure of PtSe2Br.

N(E_F), states/eV/cell: 1.33
Energy relative to the lowest polymorph listed for this composition, eV/atom: 0.004
V, Å³/cell: 95.1
Spin magnetization, Bohr magnetons per cell: 0.00
ΔE_f (raw), eV per atom: -0.28

Unit cell a=3.8968 b=3.8968 c=7.3552 alpha=92.53 beta=92.53 gamma=58.45
Closest atoms and distances in Å follow each position.
Atoms (fractional coordinates):
1 Pt 0.0000 0.0000 0.0000  6 Se 2.53-2.62
2 Se 0.3285 0.3285 0.8286  3 Pt 2.53-2.62, 1 Br 2.74
3 Se 0.6715 0.6715 0.1714  3 Pt 2.53-2.62, 1 Br 2.74
4 Br 0.5000 0.5000 0.5000  2 Se 2.74

---

# 6
A plane-wave DFT calculation with GGA-PBE was carried out for an optimized crystal structure of PtSe2Br.

N(E_F), states/eV/cell: 6.95
Energy relative to the lowest polymorph listed for this composition, eV/atom: 0.389
V, Å³/cell: 211.7
Spin magnetization, Bohr magnetons per cell: 0.00
ΔE_f (raw), eV per atom: 0.11

Unit cell a=6.5665 b=6.5665 c=6.5665 alpha=115.43 beta=115.43 gamma=98.11
Closest atoms and distances in Å follow each position.
Atoms (fractional coordinates):
1 Pt 0.0000 0.0000 0.0000  4 Se 2.41
2 Pt 0.7500 0.2500 0.5000  4 Se 2.41
3 Se 0.0550 0.1250 0.4300  2 Pt 2.41
4 Se 0.3750 0.9450 0.0700  2 Pt 2.41
5 Se 0.6950 0.6250 0.5700  2 Pt 2.41
6 Se 0.8750 0.3050 0.9300  2 Pt 2.41
7 Br 0.2500 0.7500 0.5000  4 Se 3.04
8 Br 0.5000 0.5000 0.0000  4 Se 3.04